[1]
The following is a GGA-PBE calculation of a relaxed structure of AcY3Tm2, from Alexandria.

Output
density: 6.7 g/cm3
DFT formation energy: 0.15 eV/atom

```
data_AcY3Tm2
_chemical_formula_sum 'Ac4 Y12 Tm8'
_space_group_name_H-M_alt 'C 1 2/m 1'
_space_group_IT_number 12
_space_group_name_Hall '-C 2y'
_cell_length_a 23.276
_cell_length_b 3.578
_cell_length_c 10.426
_cell_angle_alpha 90.00
_cell_angle_beta 108.82
_cell_angle_gamma 90.00
loop_
_atom_site_label
_atom_site_type_symbol
_atom_site_fract_x
_atom_site_fract_y
_atom_site_fract_z
Ac1 Ac 0.182 0.000 0.041
Y1 Y 0.059 0.000 0.442
Y2 Y 0.066 0.500 0.758
Y3 Y 0.195 0.000 0.709
Tm1 Tm 0.067 0.500 0.147
Tm2 Tm 0.193 0.000 0.378
```


[2]
The following is a GGA-PBE calculation of a relaxed structure of InAg2Os, from Alexandria.

Output
density: 12.3 g/cm3
DFT formation energy: 0.50 eV/atom

```
data_InAg2Os
_chemical_formula_sum 'In2 Ag4 Os2'
_space_group_name_H-M_alt 'C 1 m 1'
_space_group_IT_number 8
_space_group_name_Hall 'C -2y'
_cell_length_a 9.631
_cell_length_b 2.839
_cell_length_c 5.235
_cell_angle_alpha 90.00
_cell_angle_beta 99.50
_cell_angle_gamma 90.00
loop_
_atom_site_label
_atom_site_type_symbol
_atom_site_fract_x
_atom_site_fract_y
_atom_site_fract_z
In1 In 0.000 0.000 0.000
Ag1 Ag 0.011 0.500 0.512
Ag2 Ag 0.258 0.500 0.297
Os1 Os 0.253 0.000 0.793
```


[3]
The following is a GGA-PBE calculation of a relaxed structure of LaAs2RhO8, from Alexandria.

Output
density: 4.8 g/cm3
formation energy (no corrections): -18.28 eV/f.u.

```
data_LaAs2RhO8
_chemical_formula_sum 'La1 As2 Rh1 O8'
_space_group_name_H-M_alt 'P -3 m 1'
_space_group_IT_number 164
_space_group_name_Hall '-P 3 2"'
_cell_length_a 5.4545
_cell_length_b 5.4545
_cell_length_c 6.9717
_cell_angle_alpha 90.00
_cell_angle_beta 90.00
_cell_angle_gamma 120.00
loop_
_atom_site_label
_atom_site_type_symbol
_atom_site_fract_x
_atom_site_fract_y
_atom_site_fract_z
La1 La 0.0000 0.0000 0.0000
As1 As 0.3333 0.6667 0.2380
Rh1 Rh 0.0000 0.0000 0.5000
O1 O 0.1563 0.3126 0.2976
O2 O 0.3333 0.6667 0.9947
```


[4]
The following is a GGA-PBE calculation of a relaxed structure of SrFePb2, from Alexandria.

Output
density: 8.2 g/cm3
DFT formation energy: 0.05 eV/atom

```
data_SrFePb2
_chemical_formula_sum 'Sr2 Fe2 Pb4'
_space_group_name_H-M_alt 'C 1 2/m 1'
_space_group_IT_number 12
_space_group_name_Hall '-C 2y'
_cell_length_a 7.908
_cell_length_b 4.558
_cell_length_c 6.808
_cell_angle_alpha 90.00
_cell_angle_beta 112.68
_cell_angle_gamma 90.00
loop_
_atom_site_label
_atom_site_type_symbol
_atom_site_fract_x
_atom_site_fract_y
_atom_site_fract_z
Sr1 Sr 0.000 0.000 0.000
Fe1 Fe 0.000 0.500 0.500
Pb1 Pb 0.221 0.000 0.663
```


[5]
The following is a GGA-PBE calculation of a relaxed structure of CaMg2NpO6, from Alexandria.

Output
density: 5.5 g/cm3
formation energy (no corrections): -28.21 eV/f.u.

```
data_CaMg2NpO6
_chemical_formula_sum 'Ca3 Mg6 Np3 O18'
_space_group_name_H-M_alt 'R 3'
_space_group_IT_number 146
_space_group_name_Hall 'R 3'
_cell_length_a 5.4771
_cell_length_b 5.4771
_cell_length_c 14.7476
_cell_angle_alpha 90.00
_cell_angle_beta 90.00
_cell_angle_gamma 120.00
loop_
_atom_site_label
_atom_site_type_symbol
_atom_site_fract_x
_atom_site_fract_y
_atom_site_fract_z
Ca1 Ca 0.0000 0.0000 0.0000
Mg1 Mg 0.0000 0.0000 0.2778
Mg2 Mg 0.0000 0.0000 0.7910
Np1 Np 0.0000 0.0000 0.4851
O1 O 0.9995 0.3194 0.8851
O2 O 0.0299 0.6307 0.0605
```


[6]
The following is a GGA-PBE calculation of a relaxed structure of SrPbSe2, from Alexandria.

Output
density: 6.9 g/cm3
formation energy (no corrections): -4.40 eV/f.u.

```
data_SrPbSe2
_chemical_formula_sum 'Sr1 Pb1 Se2'
_space_group_name_H-M_alt 'P 4/m m m'
_space_group_IT_number 123
_space_group_name_Hall '-P 4 2'
_cell_length_a 5.336
_cell_length_b 5.336
_cell_length_c 3.830
_cell_angle_alpha 90.00
_cell_angle_beta 90.00
_cell_angle_gamma 90.00
loop_
_atom_site_label
_atom_site_type_symbol
_atom_site_fract_x
_atom_site_fract_y
_atom_site_fract_z
Sr1 Sr 0.000 0.000 0.000
Pb1 Pb 0.500 0.500 0.000
Se1 Se 0.000 0.500 0.500
```


[7]
The following is a GGA-PBE calculation of a relaxed structure of LiAcTl4, from Alexandria.

Output
density: 9.4 g/cm3
DFT formation energy: -0.08 eV/atom

```
data_LiAcTl4
_chemical_formula_sum 'Li4 Ac4 Tl16'
_space_group_name_H-M_alt 'F -4 3 m'
_space_group_IT_number 216
_space_group_name_Hall 'F -4 2 3'
_cell_length_a 9.062
_cell_length_b 9.062
_cell_length_c 9.062
_cell_angle_alpha 90.00
_cell_angle_beta 90.00
_cell_angle_gamma 90.00
loop_
_atom_site_label
_atom_site_type_symbol
_atom_site_fract_x
_atom_site_fract_y
_atom_site_fract_z
Li1 Li 0.000 0.000 0.000
Ac1 Ac 0.250 0.250 0.750
Tl1 Tl 0.125 0.125 0.375
```


[8]
The following is a GGA-PBE calculation of a relaxed structure of La3Dy4Ho2, from Alexandria.

Output
density: 7.8 g/cm3
DFT formation energy: 0.10 eV/atom

```
data_La3Dy4Ho2
_chemical_formula_sum 'La12 Dy16 Ho8'
_space_group_name_H-M_alt 'C 1 2/c 1'
_space_group_IT_number 15
_space_group_name_Hall '-C 2yc'
_cell_length_a 16.447
_cell_length_b 11.845
_cell_length_c 6.168
_cell_angle_alpha 90.00
_cell_angle_beta 97.65
_cell_angle_gamma 90.00
loop_
_atom_site_label
_atom_site_type_symbol
_atom_site_fract_x
_atom_site_fract_y
_atom_site_fract_z
La1 La 0.000 0.131 0.250
La2 La 0.167 0.370 0.083
Dy1 Dy 0.056 0.376 0.534
Dy2 Dy 0.222 0.124 0.368
Ho1 Ho 0.111 0.123 0.799
```


[9]
The following is a GGA-PBE calculation of a relaxed structure of FeCoCl2, from Alexandria.

Output
density: 4.0 g/cm3
formation energy (no corrections): 0.10 eV/f.u.

```
data_FeCoCl2
_chemical_formula_sum 'Fe2 Co2 Cl4'
_space_group_name_H-M_alt 'I m m 2'
_space_group_IT_number 44
_space_group_name_Hall 'I 2 -2'
_cell_length_a 3.052
_cell_length_b 3.091
_cell_length_c 16.442
_cell_angle_alpha 90.00
_cell_angle_beta 90.00
_cell_angle_gamma 90.00
loop_
_atom_site_label
_atom_site_type_symbol
_atom_site_fract_x
_atom_site_fract_y
_atom_site_fract_z
Fe1 Fe 0.000 0.000 0.000
Co1 Co 0.000 0.500 0.385
Cl1 Cl 0.000 0.000 0.580
Cl2 Cl 0.000 0.500 0.810
```


[10]
The following is a GGA-PBE calculation of a relaxed structure of Ba2TaCoRh, from Alexandria.

Output
density: 6.9 g/cm3
DFT formation energy: 0.96 eV/atom

```
data_Ba2TaCoRh
_chemical_formula_sum 'Ba2 Ta1 Co1 Rh1'
_space_group_name_H-M_alt 'P 4/m m m'
_space_group_IT_number 123
_space_group_name_Hall '-P 4 2'
_cell_length_a 5.708
_cell_length_b 5.708
_cell_length_c 4.574
_cell_angle_alpha 90.00
_cell_angle_beta 90.00
_cell_angle_gamma 90.00
loop_
_atom_site_label
_atom_site_type_symbol
_atom_site_fract_x
_atom_site_fract_y
_atom_site_fract_z
Ba1 Ba 0.000 0.500 0.000
Ta1 Ta 0.000 0.000 0.500
Co1 Co 0.000 0.000 0.000
Rh1 Rh 0.500 0.500 0.500
```


[11]
The following is a GGA-PBE calculation of a relaxed structure of Zr6TlS12, from Alexandria.

Output
density: 4.5 g/cm3
formation energy (no corrections): -22.55 eV/f.u.

```
data_Zr6TlS12
_chemical_formula_sum 'Zr18 Tl3 S36'
_space_group_name_H-M_alt 'R -3 m'
_space_group_IT_number 166
_space_group_name_Hall '-R 3 2"'
_cell_length_a 12.5240
_cell_length_b 12.5240
_cell_length_c 9.1848
_cell_angle_alpha 90.00
_cell_angle_beta 90.00
_cell_angle_gamma 120.00
loop_
_atom_site_label
_atom_site_type_symbol
_atom_site_fract_x
_atom_site_fract_y
_atom_site_fract_z
Zr1 Zr 0.0723 0.5362 0.2831
Tl1 Tl 0.0000 0.0000 0.0000
S1 S 0.0000 0.3744 0.5000
S2 S 0.0902 0.1804 0.3499
```


[12]
The following is a GGA-PBE calculation of a relaxed structure of TcSnMo2Cl, from Alexandria.

Output
density: 7.6 g/cm3
formation energy (no corrections): 7.46 eV/f.u.

```
data_TcSnMo2Cl
_chemical_formula_sum 'Tc1 Sn1 Mo2 Cl1'
_space_group_name_H-M_alt 'P 4/m m m'
_space_group_IT_number 123
_space_group_name_Hall '-P 4 2'
_cell_length_a 4.339
_cell_length_b 4.339
_cell_length_c 5.185
_cell_angle_alpha 90.00
_cell_angle_beta 90.00
_cell_angle_gamma 90.00
loop_
_atom_site_label
_atom_site_type_symbol
_atom_site_fract_x
_atom_site_fract_y
_atom_site_fract_z
Tc1 Tc 0.000 0.000 0.000
Sn1 Sn 0.500 0.500 0.000
Mo1 Mo 0.000 0.500 0.500
Cl1 Cl 0.500 0.500 0.500
```